Below is an optimized crystal structure of KPS2, with properties calculated at the GGA-PBE level.

```
data_KPS2
_space_group_name_H-M_alt 'I -4 2 d'
_space_group_IT_number 122
_space_group_name_Hall 'I -4 2bw'
_cell_length_a 6.511
_cell_length_b 6.511
_cell_length_c 11.218
_cell_angle_alpha 90.00
_cell_angle_beta 90.00
_cell_angle_gamma 90.00
loop_
_atom_site_label
_atom_site_fract_x
_atom_site_fract_y
_atom_site_fract_z
K1 0.000 0.000 0.000
P1 0.000 0.000 0.500
S1 0.119 0.250 0.625
```

Results
- Spin magnetization: 0.00 μB per formula unit

***

Below is an optimized crystal structure of K8PS2, with properties calculated at the GGA-PBE level.

```
data_K8PS2
_space_group_name_H-M_alt 'I m m m'
_space_group_IT_number 71
_space_group_name_Hall '-I 2 2'
_cell_length_a 4.575
_cell_length_b 9.345
_cell_length_c 20.505
_cell_angle_alpha 90.00
_cell_angle_beta 90.00
_cell_angle_gamma 90.00
loop_
_atom_site_label
_atom_site_fract_x
_atom_site_fract_y
_atom_site_fract_z
K1 0.000 0.000 0.129
K2 0.000 0.186 0.317
K3 0.000 0.254 0.000
P1 0.000 0.500 0.500
S1 0.000 0.500 0.251
```

Results
- Spin magnetization: 0.00 μB per formula unit

***

Below is an optimized crystal structure of K3PS4, with properties calculated at the GGA-PBE level.

```
data_K3PS4
_space_group_name_H-M_alt 'P n m a'
_space_group_IT_number 62
_space_group_name_Hall '-P 2ac 2n'
_cell_length_a 9.134
_cell_length_b 10.639
_cell_length_c 9.312
_cell_angle_alpha 90.00
_cell_angle_beta 90.00
_cell_angle_gamma 90.00
loop_
_atom_site_label
_atom_site_fract_x
_atom_site_fract_y
_atom_site_fract_z
K1 0.055 0.045 0.202
K2 0.140 0.750 0.421
P1 0.222 0.750 0.981
S1 0.020 0.750 0.082
S2 0.166 0.090 0.538
S3 0.194 0.750 0.761
```

Results
- Spin magnetization: 0.00 μB per formula unit

***

Below is an optimized crystal structure of KPS3, with properties calculated at the GGA-PBE level.

```
data_KPS3
_space_group_name_H-M_alt 'P 63/m'
_space_group_IT_number 176
_space_group_name_Hall '-P 6c'
_cell_length_a 6.9510
_cell_length_b 6.9510
_cell_length_c 7.9694
_cell_angle_alpha 90.00
_cell_angle_beta 90.00
_cell_angle_gamma 120.00
loop_
_atom_site_label
_atom_site_fract_x
_atom_site_fract_y
_atom_site_fract_z
K1 0.3333 0.6667 0.2500
P1 0.0000 0.0000 0.2500
S1 0.1524 0.3249 0.7500
```

Results
- Spin magnetization: 0.00 μB per formula unit

***

Below is an optimized crystal structure of KP2S, with properties calculated at the GGA-PBE level.

```
data_KP2S
_space_group_name_H-M_alt 'I -4 2 d'
_space_group_IT_number 122
_space_group_name_Hall 'I -4 2bw'
_cell_length_a 7.415
_cell_length_b 7.415
_cell_length_c 7.365
_cell_angle_alpha 90.00
_cell_angle_beta 90.00
_cell_angle_gamma 90.00
loop_
_atom_site_label
_atom_site_fract_x
_atom_site_fract_y
_atom_site_fract_z
K1 0.000 0.000 0.000
P1 0.124 0.750 0.625
S1 0.000 0.000 0.500
```

Results
- Spin magnetization: 0.00 μB per formula unit

***

Below is an optimized crystal structure of KPS3, with properties calculated at the GGA-PBE level.

```
data_KPS3
_space_group_name_H-M_alt 'P n m a'
_space_group_IT_number 62
_space_group_name_Hall '-P 2ac 2n'
_cell_length_a 5.800
_cell_length_b 13.435
_cell_length_c 6.954
_cell_angle_alpha 90.00
_cell_angle_beta 90.00
_cell_angle_gamma 90.00
loop_
_atom_site_label
_atom_site_fract_x
_atom_site_fract_y
_atom_site_fract_z
K1 0.000 0.000 0.000
P1 0.091 0.250 0.401
S1 0.012 0.120 0.523
S2 0.025 0.750 0.892
```

Results
- Spin magnetization: 0.00 μB per formula unit

***

The evaluated final energy for the records listed, in turn: -65.10, -56.93, -133.01, -43.75, -60.26, -87.51 eV for the cell shown.